Li7Mn2Co3O12: relaxed, GGA+U.

The structure in POSCAR format:
```
Li7Mn2Co3O12
1.0
2.8982 0.0000 0.0000
0.0000 8.0793 0.0118
0.0000 3.9085 8.9106
Li O Mn Co
7 12 2 3
direct
0.0000 0.8208 0.3495
0.0000 0.1794 0.6542
0.5000 0.9824 0.4993
0.5000 0.6524 0.1843
0.0000 0.4974 0.9964
0.0000 0.6665 0.6575
0.5000 0.3702 0.8035
0.0000 0.4260 0.6465
0.0000 0.1027 0.3144
0.0000 0.2318 0.0211
0.0000 0.7718 0.9859
0.5000 0.2599 0.4900
0.5000 0.9305 0.1544
0.0000 0.5591 0.3503
0.5000 0.7375 0.4957
0.5000 0.5994 0.8404
0.5000 0.0729 0.8497
0.0000 0.9095 0.6893
0.5000 0.3992 0.1787
0.0000 0.0059 0.0013
0.5000 0.8264 0.8301
0.5000 0.1672 0.1693
0.5000 0.5013 0.5021
0.0000 0.3299 0.3361
```

Output
Space-group type = Pm, No. 6
Total moment = 8.0 μB per cell
Relative energy among the computed polymorphs = 50 meV per atom
DFT total energy = -140.34 eV per formula unit